Entry 1:
This record from Alexandria via LeMat-Bulk describes crystalline Sm2YEr6Sc at its relaxed geometry. The functional is GGA-PBE.

```
Sm2YEr6Sc
1.0
-0.563 4.258 -8.440
7.318 -4.195 -1.883
-7.445 -4.286 -0.944
Sm Er Sc Y
4 12 2 2
Direct
0.454 0.801 0.697
0.546 0.199 0.303
0.046 0.303 0.199
0.954 0.697 0.801
0.616 0.497 0.707
0.884 0.293 0.503
0.809 0.430 0.988
0.557 0.747 0.128
0.057 0.128 0.747
0.191 0.570 0.012
0.384 0.503 0.293
0.309 0.988 0.430
0.116 0.707 0.497
0.691 0.012 0.570
0.943 0.872 0.253
0.443 0.253 0.872
0.750 0.589 0.411
0.250 0.411 0.589
0.750 0.019 0.981
0.250 0.981 0.019
```

Calculated values
Mass density (Mg/m³): 7.7
E_tot (eV per atom): -4.8393
D(E_F) (states/eV per atom): 1.2403

Entry 2:
This record from Alexandria via LeMat-Bulk describes crystalline SmYEr3Sc at its relaxed geometry. The functional is GGA-PBE.

```
SmYEr3Sc
1.0
-2.528 -2.919 4.104
1.943 -6.196 -7.080
6.362 -1.341 2.965
Er Sm Sc Y
6 2 2 2
Direct
0.524 0.048 0.741
0.476 0.952 0.259
0.218 0.435 0.261
0.782 0.565 0.739
0.832 0.664 0.257
0.168 0.336 0.743
0.043 0.085 0.260
0.957 0.915 0.740
0.649 0.298 0.460
0.351 0.702 0.540
0.351 0.702 0.956
0.649 0.298 0.044
```

Calculated values
Mass density (Mg/m³): 7.1
E_tot (eV per atom): -5.0012
D(E_F) (states/eV per atom): 1.5387

Entry 3:
This record from Alexandria via LeMat-Bulk describes crystalline SmErScZn at its relaxed geometry. The functional is GGA-PBE.

```
SmErScZn
1.0
5.236 0.000 0.000
2.618 4.534 0.000
2.618 1.511 4.275
Sm Zn Er Sc
1 1 1 1
Direct
0.000 0.000 0.000
0.750 0.750 0.750
0.500 0.500 0.500
0.250 0.250 0.250
```

Calculated values
Mass density (Mg/m³): 7.0
E_tot (eV per atom): -4.2279
D(E_F) (states/eV per atom): 1.1363

Entry 4:
This record from Alexandria via LeMat-Bulk describes crystalline SmErScZn at its relaxed geometry. The functional is GGA-PBE.

```
SmErScZn
1.0
-1.382 0.910 3.048
2.061 -2.275 1.614
5.936 6.014 0.897
Zn Er Sm Sc
1 1 1 1
Direct
0.000 0.000 0.553
0.500 0.500 0.774
0.000 0.000 0.084
0.500 0.500 0.373
```

Calculated values
Mass density (Mg/m³): 7.0
E_tot (eV per atom): -4.3764
D(E_F) (states/eV per atom): 0.9722

Entry 5:
This record from Alexandria via LeMat-Bulk describes crystalline SmErZrSc at its relaxed geometry. The functional is GGA-PBE.

```
SmErZrSc
1.0
5.371 0.000 0.000
2.686 4.652 0.000
2.686 1.551 4.386
Sc Er Sm Zr
1 1 1 1
Direct
0.000 0.000 0.000
0.500 0.500 0.500
0.250 0.250 0.250
0.750 0.750 0.750
```

Calculated values
Mass density (Mg/m³): 6.9
E_tot (eV per atom): -5.8508
D(E_F) (states/eV per atom): 1.9445

Entry 6:
This record from Alexandria via LeMat-Bulk describes crystalline SmEr2ZrSc4 at its relaxed geometry. The functional is GGA-PBE.

```
SmEr2ZrSc4
1.0
4.768 0.000 0.000
0.000 4.655 1.055
0.000 2.590 10.167
Sc Er Zr Sm
4 2 1 1
Direct
0.000 0.762 0.738
0.500 0.736 0.262
0.500 0.264 0.738
0.000 0.238 0.262
0.000 0.000 0.000
0.500 0.000 0.500
0.000 0.500 0.500
0.500 0.500 0.000
```

Calculated values
Mass density (Mg/m³): 5.9
E_tot (eV per atom): -5.9172
D(E_F) (states/eV per atom): 1.5649

Entry 7:
This record from Alexandria via LeMat-Bulk describes crystalline Er5ScSn4 at its relaxed geometry. The functional is GGA-PBE.

```
Er5ScSn4
1.0
4.482 0.000 0.000
0.000 7.523 0.944
-2.241 -0.410 8.422
Er Sc Sn
5 1 4
Direct
0.866 0.199 0.731
0.134 0.801 0.269
0.214 0.349 0.429
0.500 0.500 0.000
0.786 0.651 0.571
0.500 0.000 0.000
0.686 0.064 0.372
0.954 0.770 0.908
0.314 0.936 0.628
0.046 0.230 0.092
```

Calculated values
Mass density (Mg/m³): 7.9
E_tot (eV per atom): -4.8931
D(E_F) (states/eV per atom): 0.8845

Entry 8:
This record from Alexandria via LeMat-Bulk describes crystalline ErSc3Sn2 at its relaxed geometry. The functional is GGA-PBE.

```
ErSc3Sn2
1.0
-4.242 -1.054 -1.611
1.294 -7.985 1.819
-1.384 5.608 6.710
Sc Sn Er
6 4 2
Direct
0.176 0.426 0.353
0.176 0.926 0.353
0.500 0.250 0.000
0.824 0.574 0.647
0.500 0.750 0.000
0.824 0.074 0.647
0.652 0.152 0.303
0.652 0.652 0.303
0.348 0.848 0.697
0.348 0.348 0.697
0.000 0.000 0.000
0.000 0.500 0.000
```

Calculated values
Mass density (Mg/m³): 6.2
E_tot (eV per atom): -5.7401
D(E_F) (states/eV per atom): 1.1130

Entry 9:
This record from Alexandria via LeMat-Bulk describes crystalline Er2Sc8Sn3 at its relaxed geometry. The functional is GGA-PBE.

```
Er2Sc8Sn3
1.0
-4.363 3.120 -2.580
-2.050 -1.613 -5.350
-9.714 -6.055 2.237
Sc Sn Er
8 3 2
Direct
0.718 0.718 0.341
0.224 0.718 0.341
0.271 0.271 0.186
0.282 0.282 0.659
0.718 0.224 0.341
0.729 0.729 0.814
0.282 0.776 0.659
0.776 0.282 0.659
0.813 0.813 0.562
0.000 0.000 0.000
0.187 0.187 0.438
0.363 0.363 0.912
0.637 0.637 0.088
```

Calculated values
Mass density (Mg/m³): 5.1
E_tot (eV per atom): -5.5612
D(E_F) (states/eV per atom): 1.3153

Entry 10:
This record from Alexandria via LeMat-Bulk describes crystalline ErSc2Sn at its relaxed geometry. The functional is GGA-PBE.

```
ErSc2Sn
1.0
-1.679 -2.104 -4.396
3.381 -1.617 -3.540
0.629 -5.042 -0.850
Sn Sc Er
1 2 1
Direct
0.750 0.750 0.750
0.250 0.250 0.250
0.000 0.000 0.000
0.500 0.500 0.500
```

Calculated values
Mass density (Mg/m³): 6.5
E_tot (eV per atom): -5.5551
D(E_F) (states/eV per atom): 1.3770

Entry 11:
This record from Alexandria via LeMat-Bulk describes crystalline ErSc2Sn at its relaxed geometry. The functional is GGA-PBE.

```
ErSc2Sn
1.0
4.581 0.000 0.000
0.000 4.606 0.000
0.000 0.000 4.606
Sc Er Sn
2 1 1
Direct
0.000 0.500 0.000
0.000 0.000 0.500
0.500 0.500 0.500
0.500 0.000 0.000
```

Calculated values
Mass density (Mg/m³): 6.4
E_tot (eV per atom): -5.7129
D(E_F) (states/eV per atom): 1.3102

Entry 12:
This record from Alexandria via LeMat-Bulk describes crystalline ErSc2Sn at its relaxed geometry. The functional is GGA-PBE.

```
ErSc2Sn
1.0
6.098 1.155 0.000
-2.058 3.558 0.000
0.000 0.000 8.737
Er Sc Sn
2 4 2
Direct
0.396 0.948 0.750
0.604 0.052 0.250
0.768 0.634 0.947
0.232 0.366 0.447
0.768 0.634 0.553
0.232 0.366 0.053
0.982 0.241 0.750
0.018 0.759 0.250
```

Calculated values
Mass density (Mg/m³): 5.9
E_tot (eV per atom): -5.6858
D(E_F) (states/eV per atom): 1.1968

Copy entry 3 word for word.
This record from Alexandria via LeMat-Bulk describes crystalline SmErScZn at its relaxed geometry. The functional is GGA-PBE.

```
SmErScZn
1.0
5.236 0.000 0.000
2.618 4.534 0.000
2.618 1.511 4.275
Sm Zn Er Sc
1 1 1 1
Direct
0.000 0.000 0.000
0.750 0.750 0.750
0.500 0.500 0.500
0.250 0.250 0.250
```

Calculated values
Mass density (Mg/m³): 7.0
E_tot (eV per atom): -4.2279
D(E_F) (states/eV per atom): 1.1363

What is the D(E_F) in the twelfth record?
1.1968 states/eV per atom